Density functional theory data (GGA-PBEsol) for crystalline Ir2RuRh at its relaxed geometry.

Output
- E_tot: -38.10 eV/cell
- DOS at the Fermi energy: 3.76 states/eV per cell
- Spin magnetization: 0.00 μB/cell
- Excess energy over the best structure of this formula in the dataset: 0.0 kJ/mol of atoms
- Formation energy: -0.04 eV per atom

```
4
Lattice="2.685 0.000 0.000 0.000 3.796 0.000 0.000 0.000 5.376" Properties=species:S:1:pos:R:3 pbc="T T T"
Ru 1.343 1.898 2.688
Ir 0.000 0.000 1.358
Ir 0.000 0.000 4.018
Rh 1.343 1.898 0.000
```